A relaxed structure of Rb2InHg16, computed with PBE.

Cell: 8.4525 8.4525 8.4525 Å, 78.73 78.73 78.73°
Closest atoms and distances in Å follow each position.
Positions (direct):
1 Hg 0.3455 0.3455 0.8796  7 Hg 3.15-3.32
2 Hg 0.6171 0.6171 0.1899  6 Hg 3.15-3.29
3 Hg 0.2996 0.9995 0.7032  6 Hg 3.18-3.37, 1 In 3.45
4 Hg 0.3455 0.8796 0.3455  7 Hg 3.15-3.32
5 Hg 0.5470 0.9703 0.9703  1 In 3.10, 8 Hg 3.21-3.37
6 Hg 0.8796 0.3455 0.3455  7 Hg 3.15-3.32
7 Hg 0.1899 0.6171 0.6171  6 Hg 3.15-3.29
8 Hg 0.2996 0.7032 0.9995  6 Hg 3.18-3.37, 1 In 3.45
9 Hg 0.9703 0.5470 0.9703  1 In 3.10, 8 Hg 3.21-3.37
10 Hg 0.1095 0.1095 0.1095  1 In 3.18, 3 Hg 3.20
11 Hg 0.6171 0.1899 0.6171  6 Hg 3.15-3.29
12 Hg 0.9995 0.2996 0.7032  6 Hg 3.18-3.37, 1 In 3.45
13 Hg 0.9703 0.9703 0.5470  1 In 3.10, 8 Hg 3.21-3.37
14 Hg 0.7032 0.2996 0.9995  6 Hg 3.18-3.37, 1 In 3.45
15 Hg 0.7032 0.9995 0.2996  6 Hg 3.18-3.37, 1 In 3.45
16 Hg 0.9995 0.7032 0.2996  6 Hg 3.18-3.37, 1 In 3.45
17 In 0.9254 0.9254 0.9254  10 Hg 3.10-3.45
18 Rb 0.3266 0.3266 0.3266  13 Hg 3.68-3.79
19 Rb 0.6516 0.6516 0.6516  15 Hg 3.78-4.04

The symmetry is R3m, No. 160. The formation enthalpy at 0 K comes out at -107 meV per atom. The value obtained for the total DFT energy (no corrections) is -0.608 eV per atom.